(1)
Crystalline TlIn2RhO8 at its relaxed geometry. Source: the Alexandria database, functional GGA-PBE.

a = 4.8360 Å, b = 6.7821 Å, c = 4.8974 Å
α = 90.00°, β = 92.17°, γ = 90.00°
Positions (direct):
Tl: 0.0000 0.0000 0.0000
In: 0.5000 0.2551 0.5000
In: 0.5000 0.7449 0.5000
Rh: 0.0000 0.5000 0.0000
O: 0.1949 0.2904 0.8210
O: 0.1949 0.7096 0.8210
O: 0.2820 0.5000 0.2978
O: 0.3048 0.0000 0.3173
O: 0.6952 0.0000 0.6827
O: 0.7180 0.5000 0.7022
O: 0.8051 0.2904 0.1790
O: 0.8051 0.7096 0.1790

Values from the calculation:
SG: No. 10



(2)
Crystalline Tl2In2RhO6 at its relaxed geometry. Source: the Alexandria database, functional GGA-PBE.

a = 5.6546 Å, b = 5.6546 Å, c = 6.6912 Å
α = 97.56°, β = 97.56°, γ = 119.69°
Positions (direct):
Tl: 0.1657 0.8343 0.0000
Tl: 0.8343 0.1657 0.0000
In: 0.3349 0.6651 0.5000
In: 0.6651 0.3349 0.5000
Rh: 0.0000 0.0000 0.5000
O: 0.0488 0.3602 0.6641
O: 0.2545 0.2545 0.3315
O: 0.3602 0.0488 0.6641
O: 0.6398 0.9512 0.3359
O: 0.7455 0.7455 0.6685
O: 0.9512 0.6398 0.3359

Values from the calculation:
SG: No. 12



(3)
Crystalline ZnInRhO4 at its relaxed geometry. Source: the Alexandria database, functional GGA-PBE.

a = 6.2516 Å, b = 6.2516 Å, c = 6.2516 Å
α = 120.08°, β = 119.56°, γ = 90.31°
Positions (direct):
Zn: 0.3679 0.1179 0.2500
Zn: 0.6321 0.8821 0.7500
In: 0.0000 0.5000 0.5000
In: 0.5000 0.5000 0.0000
Rh: 0.0000 0.0000 0.5000
Rh: 0.0000 0.5000 0.0000
O: 0.2240 0.7497 0.4744
O: 0.2247 0.2503 0.9744
O: 0.2373 0.2476 0.5103
O: 0.2373 0.7269 0.9897
O: 0.7627 0.2731 0.0103
O: 0.7627 0.7524 0.4897
O: 0.7753 0.7497 0.0256
O: 0.7760 0.2503 0.5256

Values from the calculation:
SG: No. 74



(4)
Crystalline InRu3O at its relaxed geometry. Source: the Alexandria database, functional GGA-PBE.

a = 4.9613 Å, b = 4.9613 Å, c = 4.9613 Å
α = 90.00°, β = 90.00°, γ = 90.00°
Positions (direct):
In: 0.0000 0.0000 0.0000
Ru: 0.0000 0.0000 0.5000
Ru: 0.0000 0.5000 0.0000
Ru: 0.5000 0.0000 0.0000
O: 0.5000 0.5000 0.5000

Values from the calculation:
Energy relative to the lowest polymorph listed for this composition: 2403 meV/atom
SG: No. 221



(5)
Crystalline InRuO3 at its relaxed geometry. Source: the Alexandria database, functional GGA-PBE.

a = 4.0906 Å, b = 4.0906 Å, c = 4.0906 Å
α = 90.00°, β = 90.00°, γ = 90.00°
Positions (direct):
In: 0.0000 0.0000 0.0000
Ru: 0.5000 0.5000 0.5000
O: 0.0000 0.0000 0.5000
O: 0.0000 0.5000 0.0000
O: 0.5000 0.0000 0.0000

Values from the calculation:
SG: No. 221



(6)
Crystalline InRu2O at its relaxed geometry. Source: the Alexandria database, functional GGA-PBE.

a = 4.3618 Å, b = 4.3618 Å, c = 4.3618 Å
α = 60.00°, β = 60.00°, γ = 60.00°
Positions (direct):
In: 0.0000 0.0000 0.0000
Ru: 0.2500 0.2500 0.2500
Ru: 0.7500 0.7500 0.7500
O: 0.5000 0.5000 0.5000

Values from the calculation:
Energy relative to the lowest polymorph listed for this composition: 743 meV/atom
SG: No. 225



(7)
Crystalline In3RuO at its relaxed geometry. Source: the Alexandria database, functional GGA-PBE.

a = 5.1138 Å, b = 5.1138 Å, c = 5.1138 Å
α = 90.00°, β = 90.00°, γ = 90.00°
Positions (direct):
In: 0.0000 0.0000 0.5000
In: 0.0000 0.5000 0.0000
In: 0.5000 0.0000 0.0000
Ru: 0.0000 0.0000 0.0000
O: 0.5000 0.5000 0.5000

Values from the calculation:
Energy relative to the lowest polymorph listed for this composition: 242 meV/atom
SG: No. 221



(8)
Crystalline InRuO3 at its relaxed geometry. Source: the Alexandria database, functional GGA-PBE.

a = 3.9220 Å, b = 3.9220 Å, c = 3.9220 Å
α = 90.00°, β = 90.00°, γ = 90.00°
Positions (direct):
In: 0.0000 0.0000 0.0000
Ru: 0.5000 0.5000 0.5000
O: 0.0000 0.5000 0.5000
O: 0.5000 0.0000 0.5000
O: 0.5000 0.5000 0.0000

Values from the calculation:
SG: No. 221



(9)
Crystalline In3RuO at its relaxed geometry. Source: the Alexandria database, functional GGA-PBE.

a = 4.5271 Å, b = 4.5271 Å, c = 4.5271 Å
α = 90.00°, β = 90.00°, γ = 90.00°
Positions (direct):
In: 0.0000 0.0000 0.5000
In: 0.0000 0.5000 0.0000
In: 0.5000 0.0000 0.0000
Ru: 0.5000 0.5000 0.5000
O: 0.0000 0.0000 0.0000

Values from the calculation:
Energy relative to the lowest polymorph listed for this composition: 0 meV/atom
SG: No. 221



(10)
Crystalline In2Ru2O7 at its relaxed geometry. Source: the Alexandria database, functional GGA-PBE.

a = 7.1620 Å, b = 7.1620 Å, c = 7.1620 Å
α = 60.00°, β = 60.00°, γ = 60.00°
Positions (direct):
In: 0.0000 0.0000 0.0000
In: 0.0000 0.0000 0.5000
In: 0.0000 0.5000 0.0000
In: 0.5000 0.0000 0.0000
Ru: 0.0000 0.5000 0.5000
Ru: 0.5000 0.0000 0.5000
Ru: 0.5000 0.5000 0.0000
Ru: 0.5000 0.5000 0.5000
O: 0.1250 0.1250 0.1250
O: 0.1634 0.1634 0.5866
O: 0.1634 0.5866 0.1634
O: 0.1634 0.5866 0.5866
O: 0.4134 0.4134 0.8366
O: 0.4134 0.8366 0.4134
O: 0.4134 0.8366 0.8366
O: 0.5866 0.1634 0.1634
O: 0.5866 0.1634 0.5866
O: 0.5866 0.5866 0.1634
O: 0.8366 0.4134 0.4134
O: 0.8366 0.4134 0.8366
O: 0.8366 0.8366 0.4134
O: 0.8750 0.8750 0.8750

Values from the calculation:
SG: No. 227



(11)
Crystalline InRu3O at its relaxed geometry. Source: the Alexandria database, functional GGA-PBE.

a = 4.1322 Å, b = 4.1322 Å, c = 4.1322 Å
α = 90.00°, β = 90.00°, γ = 90.00°
Positions (direct):
In: 0.0000 0.0000 0.0000
Ru: 0.0000 0.5000 0.5000
Ru: 0.5000 0.0000 0.5000
Ru: 0.5000 0.5000 0.0000
O: 0.5000 0.5000 0.5000

Values from the calculation:
Energy relative to the lowest polymorph listed for this composition: 0 meV/atom
SG: No. 221



(12)
Crystalline InRu2O at its relaxed geometry. Source: the Alexandria database, functional GGA-PBE.

a = 5.4216 Å, b = 5.4216 Å, c = 5.4216 Å
α = 107.20°, β = 107.20°, γ = 114.12°
Positions (direct):
In: 0.0000 0.0000 0.0000
In: 0.7500 0.2500 0.5000
Ru: 0.2410 0.6250 0.1160
Ru: 0.3750 0.4910 0.6160
Ru: 0.5090 0.1250 0.8840
Ru: 0.8750 0.7590 0.3840
O: 0.2500 0.7500 0.5000
O: 0.5000 0.5000 0.0000

Values from the calculation:
Energy relative to the lowest polymorph listed for this composition: 0 meV/atom
SG: No. 122



(13)
Crystalline InSbRuO6 at its relaxed geometry. Source: the Alexandria database, functional GGA-PBE.

a = 4.7574 Å, b = 4.7574 Å, c = 9.6908 Å
α = 90.00°, β = 90.00°, γ = 90.00°
Positions (direct):
In: 0.0000 0.0000 0.0000
In: 0.5000 0.5000 0.5000
Sb: 0.0000 0.0000 0.6675
Sb: 0.5000 0.5000 0.1675
Ru: 0.0000 0.0000 0.3348
Ru: 0.5000 0.5000 0.8348
O: 0.1823 0.1823 0.4976
O: 0.1983 0.1983 0.1743
O: 0.2026 0.2026 0.8244
O: 0.2974 0.7026 0.3244
O: 0.3017 0.6983 0.6743
O: 0.3177 0.6823 0.9976
O: 0.6823 0.3177 0.9976
O: 0.6983 0.3017 0.6743
O: 0.7026 0.2974 0.3244
O: 0.7974 0.7974 0.8244
O: 0.8017 0.8017 0.1743
O: 0.8177 0.8177 0.4976

Values from the calculation:
SG: No. 102



(14)
Crystalline InSiRuO2 at its relaxed geometry. Source: the Alexandria database, functional GGA-PBE.

a = 3.6056 Å, b = 3.6056 Å, c = 5.2614 Å
α = 90.00°, β = 90.00°, γ = 90.00°
Positions (direct):
In: 0.0000 0.0000 0.0000
Si: 0.5000 0.5000 0.5000
Ru: 0.5000 0.5000 0.0000
O: 0.0000 0.5000 0.5000
O: 0.5000 0.0000 0.5000

Values from the calculation:
SG: No. 123



(15)
Crystalline SmIn2RuO8 at its relaxed geometry. Source: the Alexandria database, functional GGA-PBE.

a = 4.9517 Å, b = 6.6877 Å, c = 4.9628 Å
α = 90.00°, β = 90.55°, γ = 90.00°
Positions (direct):
Sm: 0.0000 0.0000 0.0000
In: 0.5000 0.2553 0.5000
In: 0.5000 0.7447 0.5000
Ru: 0.0000 0.5000 0.0000
O: 0.1879 0.2938 0.8147
O: 0.1879 0.7062 0.8147
O: 0.2818 0.5000 0.2842
O: 0.3147 0.0000 0.3176
O: 0.6853 0.0000 0.6824
O: 0.7182 0.5000 0.7158
O: 0.8121 0.2938 0.1853
O: 0.8121 0.7062 0.1853

Values from the calculation:
SG: No. 10



(16)
Crystalline Sr2InRuO8 at its relaxed geometry. Source: the Alexandria database, functional GGA-PBE.

a = 4.6259 Å, b = 5.3085 Å, c = 7.5033 Å
α = 92.49°, β = 92.77°, γ = 91.74°
Positions (direct):
Sr: 0.0551 0.4978 0.2509
Sr: 0.9449 0.5022 0.7491
In: 0.5000 0.0000 0.0000
Ru: 0.5000 0.0000 0.5000
O: 0.0869 0.8953 0.5165
O: 0.1881 0.7333 0.0014
O: 0.4072 0.1494 0.2798
O: 0.4230 0.2988 0.6250
O: 0.5770 0.7012 0.3750
O: 0.5928 0.8506 0.7202
O: 0.8119 0.2667 0.9986
O: 0.9131 0.1047 0.4835

Values from the calculation:
SG: No. 2



(17)
Crystalline SrIn2RuO8 at its relaxed geometry. Source: the Alexandria database, functional GGA-PBE.

a = 4.6418 Å, b = 6.9265 Å, c = 4.9992 Å
α = 90.00°, β = 90.59°, γ = 90.00°
Positions (direct):
Sr: 0.0000 0.0000 0.0000
In: 0.5000 0.2631 0.5000
In: 0.5000 0.7369 0.5000
Ru: 0.0000 0.5000 0.0000
O: 0.2378 0.3044 0.8597
O: 0.2378 0.6956 0.8597
O: 0.2411 0.0000 0.4584
O: 0.2428 0.5000 0.3263
O: 0.7572 0.5000 0.6737
O: 0.7589 0.0000 0.5416
O: 0.7622 0.3044 0.1403
O: 0.7622 0.6956 0.1403

Values from the calculation:
SG: No. 10



(18)
Crystalline TbIn2RuO8 at its relaxed geometry. Source: the Alexandria database, functional GGA-PBE.

a = 4.9450 Å, b = 6.6121 Å, c = 4.9535 Å
α = 90.00°, β = 90.88°, γ = 90.00°
Positions (direct):
Tb: 0.0000 0.0000 0.0000
In: 0.5000 0.2530 0.5000
In: 0.5000 0.7470 0.5000
Ru: 0.0000 0.5000 0.0000
O: 0.1863 0.2903 0.8155
O: 0.1863 0.7097 0.8155
O: 0.2822 0.5000 0.2838
O: 0.3107 0.0000 0.3124
O: 0.6893 0.0000 0.6876
O: 0.7178 0.5000 0.7162
O: 0.8137 0.2903 0.1845
O: 0.8137 0.7097 0.1845

Values from the calculation:
SG: No. 10



(19)
Crystalline InTeRuO5 at its relaxed geometry. Source: the Alexandria database, functional GGA-PBE.

a = 6.3623 Å, b = 6.3623 Å, c = 6.8738 Å
α = 101.73°, β = 101.73°, γ = 110.12°
Positions (direct):
In: 0.0000 0.5000 0.0000
In: 0.5000 0.0000 0.5000
Te: 0.0195 0.9805 0.7500
Te: 0.9805 0.0195 0.2500
Ru: 0.4981 0.5019 0.2500
Ru: 0.5019 0.4981 0.7500
O: 0.1243 0.8329 0.9400
O: 0.1671 0.8757 0.5600
O: 0.2932 0.3468 0.9211
O: 0.3171 0.6829 0.2500
O: 0.3468 0.2932 0.4211
O: 0.6532 0.7068 0.5789
O: 0.6829 0.3171 0.7500
O: 0.7068 0.6532 0.0789
O: 0.8329 0.1243 0.4400
O: 0.8757 0.1671 0.0600

Values from the calculation:
SG: No. 15



(20)
Crystalline TlInRu2O8 at its relaxed geometry. Source: the Alexandria database, functional GGA-PBE.

a = 4.8575 Å, b = 4.8575 Å, c = 6.4558 Å
α = 90.00°, β = 90.00°, γ = 91.46°
Positions (direct):
Tl: 0.0000 0.0000 0.0000
In: 0.0000 0.0000 0.5000
Ru: 0.5000 0.5000 0.2525
Ru: 0.5000 0.5000 0.7475
O: 0.2175 0.2175 0.2595
O: 0.2175 0.2175 0.7405
O: 0.3213 0.6787 0.5000
O: 0.3315 0.6685 0.0000
O: 0.6685 0.3315 0.0000
O: 0.6787 0.3213 0.5000
O: 0.7825 0.7825 0.2595
O: 0.7825 0.7825 0.7405

Values from the calculation:
SG: No. 65



(21)
Crystalline Tl2InRuO8 at its relaxed geometry. Source: the Alexandria database, functional GGA-PBE.

a = 4.9552 Å, b = 6.7113 Å, c = 5.0279 Å
α = 90.00°, β = 92.52°, γ = 90.00°
Positions (direct):
Tl: 0.0000 0.2483 0.0000
Tl: 0.0000 0.7517 0.0000
In: 0.5000 0.5000 0.5000
Ru: 0.5000 0.0000 0.5000
O: 0.2132 0.5000 0.1923
O: 0.2337 0.0000 0.2097
O: 0.3133 0.2133 0.6655
O: 0.3133 0.7867 0.6655
O: 0.6867 0.2133 0.3345
O: 0.6867 0.7867 0.3345
O: 0.7663 0.0000 0.7903
O: 0.7868 0.5000 0.8077

Values from the calculation:
SG: No. 10



(22)
Crystalline TlIn2RuO8 at its relaxed geometry. Source: the Alexandria database, functional GGA-PBE.

a = 4.8502 Å, b = 6.7891 Å, c = 4.8589 Å
α = 90.00°, β = 92.19°, γ = 90.00°
Positions (direct):
Tl: 0.0000 0.0000 0.0000
In: 0.5000 0.2553 0.5000
In: 0.5000 0.7447 0.5000
Ru: 0.0000 0.5000 0.0000
O: 0.1874 0.2958 0.8143
O: 0.1874 0.7042 0.8143
O: 0.2862 0.5000 0.2876
O: 0.3092 0.0000 0.3110
O: 0.6908 0.0000 0.6890
O: 0.7138 0.5000 0.7124
O: 0.8126 0.2958 0.1857
O: 0.8126 0.7042 0.1857

Values from the calculation:
SG: No. 10



no.,formation energy from raw total energies (eV/atom),V (Å³ per cell),E_tot (eV/cell)
1,-0.78,161,-64.23
2,-1.03,179,-58.64
3,-1.19,173,-79.11
4,2.57,122,-22.68
5,0.12,68,-26.30
6,0.83,59,-22.94
7,0.37,134,-20.61
8,-0.73,60,-30.56
9,0.12,93,-21.82
10,-1.17,260,-143.11
11,0.17,71,-34.69
12,0.09,122,-51.82
13,-1.26,219,-114.51
14,-0.50,68,-29.83
15,-1.50,164,-77.16
16,-1.42,184,-72.12
17,-1.23,161,-70.86
18,-1.53,162,-77.41
19,-0.82,244,-93.07
20,-0.87,152,-73.78
21,-0.73,167,-65.14
22,-0.95,160,-68.17